1.
Material: Hg4IBr
Method: DFT, PBE
State: optimized geometry

Formation energy without anion corrections (meV per atom): -137.6
Energy (eV per atom): -0.88
D(E_F) (states/eV per cell): 4.03

a = 8.4396 Å, b = 8.4612 Å, c = 8.4612 Å
α = 114.76°, β = 111.86°, γ = 111.86°
Closest atoms and distances in Å follow each position.
Positions (direct):
Hg (0.2395, 0.0595, 0.7617)  3 Hg 3.01-3.05, 1 Br 3.13, 1 I 3.23
Hg (0.7528, 0.0536, 0.7752)  3 Hg 2.97-3.02, 1 Br 3.10, 1 I 3.15
Hg (0.2605, 0.7383, 0.4405)  3 Hg 3.01-3.05, 1 Br 3.13, 1 I 3.23
Hg (0.7472, 0.7248, 0.4464)  3 Hg 2.97-3.02, 1 Br 3.10, 1 I 3.15
Hg (0.2528, 0.2752, 0.5536)  3 Hg 2.97-3.02, 1 Br 3.10, 1 I 3.15
Hg (0.7395, 0.2617, 0.5595)  3 Hg 3.01-3.05, 1 Br 3.13, 1 I 3.23
Hg (0.2472, 0.9464, 0.2248)  3 Hg 2.97-3.02, 1 Br 3.10, 1 I 3.15
Hg (0.7605, 0.9405, 0.2383)  3 Hg 3.01-3.05, 1 Br 3.13, 1 I 3.23
I (0.2500, 0.6593, 0.8407)  4 Hg 3.15-3.23
I (0.7500, 0.3407, 0.1593)  4 Hg 3.15-3.23
Br (0.7500, 0.6536, 0.8464)  4 Hg 3.10-3.13
Br (0.2500, 0.3464, 0.1536)  4 Hg 3.10-3.13


2.
Material: HfAuI2N
Method: DFT, PBE
State: optimized geometry

Formation energy without anion corrections (meV per atom): 64.7
Energy (eV per atom): -4.87
ΔE to the lowest computed polymorph (eV/atom): 0.0000
D(E_F) (states/eV per cell): 1.59

a = 5.8622 Å, b = 5.8622 Å, c = 3.9623 Å
α = 90.00°, β = 90.00°, γ = 90.00°
Closest atoms and distances in Å follow each position.
Positions (direct):
I (0.0000, 0.5000, 0.0000)  2 Hf 2.93
I (0.5000, 0.0000, 0.0000)  2 Hf 2.93
Hf (0.0000, 0.0000, 0.0000)  2 N 1.98
Au (0.5000, 0.5000, 0.5000)  8 I 3.54, 2 Au 3.96
N (0.0000, 0.0000, 0.5000)  2 Hf 1.98